# 1
A plane-wave DFT calculation with PBE was carried out for a geometry-optimized HfSc3Sn structure.

Results
Offset from the most stable computed form: 0.000 eV per atom
Calculated formation energy: 0.641 eV per atom
Total DFT energy (no corrections): -5.95 eV/atom

a b c (Å): 5.293 5.293 5.293
angles (deg): 90.00 90.00 90.00
Space group Pm-3m (No. 221)
Inequivalent atoms, fractional coordinates:
Hf 0.000 0.000 0.000 [1 per cell]
Sc 0.000 0.500 0.500 [3 per cell]
Sn 0.500 0.500 0.500 [1 per cell]

# 2
A plane-wave DFT calculation with PBE was carried out for a geometry-optimized Pm5ZnSe4 structure.

Results
Total DFT energy (no corrections): -5.45 eV/atom

a b c (Å): 9.416 9.416 5.949
angles (deg): 90.00 90.00 90.00
Space group I4/m (No. 87)
Inequivalent atoms, fractional coordinates:
Pm 0.000 0.000 0.000 [2 per cell]
Pm 0.100 0.701 0.500 [8 per cell]
Zn 0.000 0.000 0.500 [2 per cell]
Se 0.099 0.698 0.000 [8 per cell]

# 3
A plane-wave DFT calculation with PBE was carried out for a geometry-optimized Ba2LiCdNi structure.

Results
Offset from the most stable computed form: 0.000 eV per atom
Calculated formation energy: -0.023 eV per atom
Total DFT energy (no corrections): -2.51 eV/atom

a b c (Å): 5.983 5.983 5.120
angles (deg): 90.00 90.00 90.00
Space group P4/mmm (No. 123)
Inequivalent atoms, fractional coordinates:
Ba 0.000 0.500 0.000 [2 per cell]
Li 0.000 0.000 0.500 [1 per cell]
Cd 0.500 0.500 0.500 [1 per cell]
Ni 0.500 0.500 0.000 [1 per cell]